A geometry-optimized KNbNiPb2 structure. Source: Alexandria via LeMat-Bulk, functional GGA-PBE. Values from VASP.

Quantum ESPRESSO input file:
```
&SYSTEM
  ibrav = 0, nat = 5, ntyp = 4
/
ATOMIC_SPECIES
K 39.10 K.upf
Nb 92.91 Nb.upf
Ni 58.69 Ni.upf
Pb 207.20 Pb.upf
ATOMIC_POSITIONS angstrom
K 0.000 0.000 0.000
Nb 2.822 2.822 2.151
Ni 0.000 0.000 2.151
Pb 0.000 2.822 0.000
Pb 2.822 0.000 0.000
CELL_PARAMETERS angstrom
5.645 0.000 0.000
0.000 5.645 0.000
0.000 0.000 4.303
```

Properties
Space-group type: No. 123
Magnetization: 0.0 μB per formula unit
E_form: 43.04 kcal/mol of atoms

A geometry-optimized K2Nb2NiS6 structure. Source: Alexandria via LeMat-Bulk, functional GGA-PBE. Values from VASP.

Quantum ESPRESSO input file:
```
&SYSTEM
  ibrav = 0, nat = 11, ntyp = 4
/
ATOMIC_SPECIES
K 39.10 K.upf
Nb 92.91 Nb.upf
Ni 58.69 Ni.upf
S 32.06 S.upf
ATOMIC_POSITIONS angstrom
K 3.222 3.184 0.000
K 3.222 -3.184 0.000
Nb 2.273 1.459 3.714
Nb 2.273 -1.459 3.714
Ni -0.949 0.000 3.714
S 0.016 1.647 4.938
S 1.587 0.000 1.923
S 0.016 -1.647 4.938
S 4.531 1.647 2.490
S 2.960 0.000 5.505
S 4.531 -1.647 2.490
CELL_PARAMETERS angstrom
3.222 -5.156 0.000
3.222 5.156 0.000
-1.898 0.000 7.427
```

Properties
Space-group type: No. 12
Formation energy from raw total energies: -0.897 eV per atom
Magnetization: 0.0 μB per formula unit

Please write out number 1 again, unchanged.
A geometry-optimized KNbNiPb2 structure. Source: Alexandria via LeMat-Bulk, functional GGA-PBE. Values from VASP.

Quantum ESPRESSO input file:
```
&SYSTEM
  ibrav = 0, nat = 5, ntyp = 4
/
ATOMIC_SPECIES
K 39.10 K.upf
Nb 92.91 Nb.upf
Ni 58.69 Ni.upf
Pb 207.20 Pb.upf
ATOMIC_POSITIONS angstrom
K 0.000 0.000 0.000
Nb 2.822 2.822 2.151
Ni 0.000 0.000 2.151
Pb 0.000 2.822 0.000
Pb 2.822 0.000 0.000
CELL_PARAMETERS angstrom
5.645 0.000 0.000
0.000 5.645 0.000
0.000 0.000 4.303
```

Properties
Space-group type: No. 123
Magnetization: 0.0 μB per formula unit
E_form: 43.04 kcal/mol of atoms

> What is the magnetization in the first record?

0.0 μB per formula unit